[1]
# Li2ZrMn

Li2ZrMn after structural relaxation (GGA-PBEsol, the Alexandria database).

```
4
Lattice="-3.8950 -2.0718 0.3740 -1.7308 -2.1068 -3.4883 -0.1685 -4.4240 -0.0542" Properties=species:S:1:pos:R:3 pbc="T T T"
Mn 0.0000 0.0000 0.0000
Zr -2.8971 -4.3013 -1.5843
Li -1.4486 -2.1507 -0.7921
Li -4.3457 -6.4520 -2.3764
```

Calculated values
**ΔE to the lowest computed polymorph**: 271 meV per atom
**Total moment**: 0.55 μB/atom
**V**: 15.34 A^3/atom



[2]
# K2HfBr

K2HfBr after structural relaxation (GGA-PBEsol, the Alexandria database).

```
4
Lattice="6.0072 0.0000 0.0000 3.0036 5.2024 0.0000 3.0036 1.7341 4.9048" Properties=species:S:1:pos:R:3 pbc="T T T"
K 3.0036 1.7341 1.2262
K 9.0108 5.2024 3.6786
Hf 6.0072 3.4682 2.4524
Br 0.0000 0.0000 0.0000
```

Calculated values
**Total moment**: 0.75 μB/atom
**Uncorrected formation energy**: 0.683 eV/atom
**V**: 38.32 A^3/atom



[3]
# CsTmCdTe3

CsTmCdTe3 after structural relaxation (GGA-PBEsol, the Alexandria database).

```
12
Lattice="4.4142 0.0000 0.0000 -2.2071 8.3819 0.0000 0.0000 0.0000 11.5438" Properties=species:S:1:pos:R:3 pbc="T T T"
Cs 2.2071 4.2146 2.8859
Cs 0.0000 4.1672 8.6578
Tm 0.0000 0.0000 0.0000
Tm 0.0000 0.0000 5.7719
Te 0.0000 6.3246 0.4926
Te 2.2071 2.0573 11.0512
Te 2.2071 2.0573 6.2645
Te 0.0000 6.3246 5.2793
Te 0.0000 1.1113 2.8859
Te 2.2071 7.2705 8.6578
Cd 0.0000 7.7245 2.8859
Cd 2.2071 0.6574 8.6578
```

Calculated values
**Total moment**: 0.00 μB/atom
**Uncorrected formation energy**: -1.046 eV/atom
**V**: 35.59 A^3/atom



[4]
# K2YP

K2YP after structural relaxation (GGA-PBEsol, the Alexandria database).

```
4
Lattice="3.8426 0.0000 0.0000 0.0000 3.9512 -0.0194 0.0000 -1.8676 10.4428" Properties=species:S:1:pos:R:3 pbc="T T T"
K 0.0000 1.8139 9.8044
K 1.9213 1.7767 3.2927
P 0.0000 1.7965 6.3613
Y 1.9213 -0.1781 6.6001
```

Calculated values
**Total moment**: 0.01 μB/atom
**V**: 39.60 A^3/atom



[5]
# Mg3CuSn2S8

Mg3CuSn2S8 after structural relaxation (GGA-PBEsol, the Alexandria database).

```
14
Lattice="7.2842 0.0000 0.0000 3.6421 6.4203 -0.0077 3.6421 2.0018 6.1002" Properties=species:S:1:pos:R:3 pbc="T T T"
Mg 7.2842 8.2518 5.9694
Mg 9.0822 3.1669 2.2909
Mg 5.4861 3.1669 2.2909
Cu 10.9262 6.4420 4.6601
Sn 7.2842 6.3643 2.2739
Sn 7.2842 4.1513 5.3331
S 5.4047 1.1044 0.7989
S 1.8794 1.1044 0.7989
S 3.6421 4.0763 0.8296
S 3.6421 2.0635 3.6120
S 5.4637 5.2705 3.8127
S 9.1046 5.2705 3.8127
S 7.2842 2.1329 3.8075
S 7.2842 4.2837 0.8343
```

Calculated values
**Total moment**: 0.00 μB/atom
**Uncorrected formation energy**: -0.776 eV/atom
**V**: 20.39 A^3/atom



[6]
# Mg3FeAg

Mg3FeAg after structural relaxation (GGA-PBEsol, the Alexandria database).

```
5
Lattice="4.7885 0.0000 0.0000 0.0000 4.7885 0.0000 0.0000 0.0000 4.7885" Properties=species:S:1:pos:R:3 pbc="T T T"
Mg 0.0000 2.3943 0.0000
Mg 0.0000 0.0000 2.3943
Mg 2.3943 0.0000 0.0000
Fe 0.0000 0.0000 0.0000
Ag 2.3943 2.3943 2.3943
```

Calculated values
**Total moment**: 0.30 μB/atom
**V**: 21.96 A^3/atom



[7]
# Li2LaCu

Li2LaCu after structural relaxation (GGA-PBEsol, the Alexandria database).

```
4
Lattice="3.3473 0.0000 0.0000 0.0000 3.3473 0.0000 0.0000 0.0000 7.3186" Properties=species:S:1:pos:R:3 pbc="T T T"
La 1.6736 1.6736 5.1461
Cu 0.0000 0.0000 3.2768
Li 0.0000 0.0000 0.5136
Li 1.6736 1.6736 2.0415
```

Calculated values
**ΔE to the lowest computed polymorph**: 0 meV per atom
**Total moment**: 0.00 μB/atom
**V**: 20.50 A^3/atom



[8]
# TlRe2Rh

TlRe2Rh after structural relaxation (GGA-PBEsol, the Alexandria database).

```
4
Lattice="4.4676 0.0000 0.0000 2.2338 3.8691 0.0000 2.2338 1.2897 3.6478" Properties=species:S:1:pos:R:3 pbc="T T T"
Re 2.2338 1.2897 0.9120
Re 6.7015 3.8691 2.7359
Rh 0.0000 0.0000 0.0000
Tl 4.4676 2.5794 1.8239
```

Calculated values
**ΔE to the lowest computed polymorph**: 651 meV per atom
**Total moment**: 0.15 μB/atom
**V**: 15.76 A^3/atom



[9]
# YZrIn2

YZrIn2 after structural relaxation (GGA-PBEsol, the Alexandria database).

```
4
Lattice="3.2481 0.0000 0.0309 0.0000 5.3284 -0.0001 -0.0515 -0.0001 5.3359" Properties=species:S:1:pos:R:3 pbc="T T T"
In 2.7961 0.0000 4.7990
In 2.8241 2.6642 1.9147
Y 1.1979 0.0001 2.1189
Zr 1.1735 2.6640 4.5843
```

Calculated values
**Total moment**: 0.00 μB/atom
**V**: 23.09 A^3/atom



[10]
# SiMoN2

SiMoN2 after structural relaxation (GGA-PBEsol, the Alexandria database).

```
4
Lattice="2.8287 0.0000 0.0000 1.4143 2.4497 0.0000 1.4143 0.8166 6.1171" Properties=species:S:1:pos:R:3 pbc="T T T"
Mo 2.8287 1.6331 3.0586
Si 0.0000 0.0000 0.0000
N 4.2430 2.4497 1.7720
N 1.4143 0.8166 4.3451
```

Calculated values
**Total moment**: 0.00 μB/atom
**Uncorrected formation energy**: -0.427 eV/atom
**V**: 10.60 A^3/atom



[11]
# CeSiPd2

CeSiPd2 after structural relaxation (GGA-PBEsol, the Alexandria database).

```
16
Lattice="5.5086 0.0000 0.0000 0.0000 6.7373 0.0000 0.0000 0.0000 7.6441" Properties=species:S:1:pos:R:3 pbc="T T T"
Ce 0.8200 5.0530 4.1544
Ce 1.9343 5.0530 0.3323
Ce 4.6886 1.6843 3.4897
Ce 3.5743 1.6843 7.3118
Si 4.6315 5.0530 6.7477
Si 3.6315 5.0530 2.9257
Si 0.8772 1.6843 0.8964
Si 1.8772 1.6843 4.7184
Pd 3.2848 6.4055 5.1536
Pd 4.9782 3.7005 1.3316
Pd 2.2238 3.0368 2.4905
Pd 0.5305 0.3318 6.3125
Pd 2.2238 0.3318 2.4905
Pd 0.5305 3.0368 6.3125
Pd 3.2848 3.7005 5.1536
Pd 4.9782 6.4055 1.3316
```

Calculated values
**Total moment**: 0.11 μB/atom
**Uncorrected formation energy**: -0.860 eV/atom
**V**: 17.73 A^3/atom



[12]
# BaSr2Li

BaSr2Li after structural relaxation (GGA-PBEsol, the Alexandria database).

```
4
Lattice="-3.9456 0.0109 1.6023 -0.2779 -4.1799 -0.6559 7.7440 -1.7329 7.7628" Properties=species:S:1:pos:R:3 pbc="T T T"
Sr 2.6468 -1.2011 6.5326
Sr 1.1516 -0.5210 2.8324
Ba -2.1117 -2.0845 0.4732
Li 3.7331 -2.9564 3.5534
```

Calculated values
**ΔE to the lowest computed polymorph**: 5 meV per atom
**Total moment**: 0.00 μB/atom
**V**: 46.28 A^3/atom



[13]
# TcNi2Au

TcNi2Au after structural relaxation (GGA-PBEsol, the Alexandria database).

```
4
Lattice="-0.1783 1.0689 -2.4043 3.4212 -2.6097 -1.4139 -3.3532 -3.1034 0.3152" Properties=species:S:1:pos:R:3 pbc="T T T"
Au -0.9913 -1.3453 -1.9710
Ni -0.0631 -4.5889 -3.4819
Ni 0.7779 -3.2225 -1.4904
Tc 1.6775 -0.9020 -1.9718
```

Calculated values
**ΔE to the lowest computed polymorph**: 142 meV per atom
**Total moment**: 0.00 μB/atom
**V**: 12.85 A^3/atom



[14]
# NbTl2S2

NbTl2S2 after structural relaxation (GGA-PBEsol, the Alexandria database).

```
5
Lattice="3.3263 0.0000 0.0000 0.0000 3.3263 0.0000 -1.6631 -1.6631 9.5032" Properties=species:S:1:pos:R:3 pbc="T T T"
S 0.0000 1.6631 4.7516
S 1.6631 0.0000 4.7516
Tl 0.0000 0.0000 7.6592
Tl 1.6631 1.6631 1.8439
Nb 0.0000 0.0000 0.0000
```

Calculated values
**Total moment**: 0.00 μB/atom
**Uncorrected formation energy**: 0.464 eV/atom
**V**: 21.03 A^3/atom



VASP energy readings, ordered: -5.166, -2.977, -3.982, -4.206, -4.567, -2.769, -3.367, -8.398, -5.830, -9.069, -6.925, -1.925, -6.707, -4.506 eV per atom